This record from OQMD describes Ho3MgFe2 after structural relaxation. The functional is PBE.

The structure belongs to space group P6/mmm (No. 191); the cell edges are 6.8199, 6.8199 and 3.5554 Å and the angles 90.00°, 90.00° and 120.00°. The asymmetric unit holds Ho at (0.0000, 0.5000, 0.0000), Mg at (0.0000, 0.0000, 0.5000) and Fe at (0.3333, 0.6667, 0.5000).

The value obtained for the total energy is -4.962 eV/atom. The value obtained for the volume is 143 Å³ per cell.



This record from OQMD describes Ho4Mg3Fe2 after structural relaxation. The functional is PBE.

The structure belongs to space group P2/m (No. 10); the cell edges are 7.445, 3.746 and 8.120 Å and the angles 90.00°, 109.97° and 90.00°. The asymmetric unit holds Ho at (0.095, 0.000, 0.226), Ho at (0.392, 0.000, 0.683), Mg at (0.000, 0.500, 0.500), Mg at (0.291, 0.500, 0.003) and Fe at (0.360, 0.500, 0.400).

The value obtained for the total energy is -4.452 eV/atom. The value obtained for the volume is 213 Å³ per cell.



This record from OQMD describes HoFeMo after structural relaxation. The functional is PBE.

The structure belongs to space group F-43m (No. 216); the cell edges are 6.290, 6.290 and 6.290 Å and the angles 90.00°, 90.00° and 90.00°. The asymmetric unit holds Ho at (0.000, 0.000, 0.000), Fe at (0.250, 0.250, 0.250) and Mo at (0.250, 0.250, 0.750).

The value obtained for the volume is 249 Å³ per cell. As for the energy of formation: 36.57 kcal/mol of atoms.



This record from OQMD describes HoFeMo after structural relaxation. The functional is PBE.

The structure belongs to space group F-43m (No. 216); the cell edges are 6.109, 6.109 and 6.109 Å and the angles 90.00°, 90.00° and 90.00°. The asymmetric unit holds Ho at (0.000, 0.000, 0.000), Fe at (0.250, 0.250, 0.250) and Mo at (0.000, 0.000, 0.500).

The value obtained for the volume is 228 Å³ per cell. As for the energy of formation: 11.89 kcal/mol of atoms.